An optimized crystal structure of TbPmScZn, computed with PBE.

Unit cell a=5.2706 b=5.2706 c=5.2706 alpha=60.00 beta=60.00 gamma=60.00
Sites, in units of the cell vectors:
Sc (0.0000, 0.0000, 0.0000)
Zn (0.5000, 0.5000, 0.5000)
Tb (0.2500, 0.2500, 0.2500)
Pm (0.7500, 0.7500, 0.7500)

Properties
E above lowest polymorph ... 137 meV/atom
Formation energy ... -12 meV per atom
Total magnetization ... 0.00 μB/cell
Calculated density ... 6.64 g cm⁻³
Total energy ... -4.259 eV per atom

---

An optimized crystal structure of Cr2Ag, computed with PBE.

Unit cell a=4.7740 b=4.7740 c=4.7740 alpha=149.63 beta=130.90 gamma=58.83
Sites, in units of the cell vectors:
Cr (0.6769, 0.6769, 0.0000)
Cr (0.3231, 0.3231, 0.0000)
Ag (0.0000, 0.0000, 0.0000)

Properties
Formation energy ... 699 meV per atom
Total magnetization ... 0.00 μB/cell
Calculated density ... 8.53 g cm⁻³
Total energy ... -6.667 eV per atom

---

An optimized crystal structure of BaSeCl2, computed with PBE.

Unit cell a=10.1123 b=10.1123 c=10.1123 alpha=26.95 beta=26.95 gamma=26.95
Site moments in Bohr magnetons follow the coordinates.
Sites, in units of the cell vectors:
Ba (0.7500, 0.7500, 0.7500)  0.00
Se (0.2500, 0.2500, 0.2500)  1.15
Cl (0.0336, 0.0336, 0.0336)  0.01
Cl (0.4664, 0.4664, 0.4664)  0.01

Properties
E above lowest polymorph ... 325 meV/atom
Formation energy from raw total energies ... -1.23 eV per atom
Total magnetization ... 2.00 μB/cell
Calculated density ... 2.55 g cm⁻³
Total energy ... -3.505 eV per atom

---

- The highest total energy belongs to which entry?
  BaSeCl2